Entry 1:
VASP calculation (PBE-GGA) on a geometry-optimized CdBiP2 structure.

a = 4.945 Å, b = 4.945 Å, c = 4.945 Å
α = 60.00°, β = 60.00°, γ = 60.00°
Element x y z (fractional)
Cd  0.000  0.000  0.000
Bi  0.500  0.500  0.500
P  0.250  0.250  0.250
P  0.750  0.750  0.750

Polymorph energy (0 for the lowest one) (meV/atom): 244.0
Symmetry: No. 225
Magnetic moment (μB/f.u.): 0.0
Fermi-level density of states (states/eV/cell): 2.35
Calculated formation energy (eV per atom): 0.446

Entry 2:
VASP calculation (PBE-GGA) on a geometry-optimized Li4CuAu structure.

a = 3.310 Å, b = 3.310 Å, c = 8.357 Å
α = 90.00°, β = 90.00°, γ = 90.00°
Element x y z (fractional)
Li  0.000  0.000  0.155
Li  0.000  0.000  0.845
Li  0.500  0.500  0.339
Li  0.500  0.500  0.661
Cu  0.500  0.500  0.000
Au  0.000  0.000  0.500

Polymorph energy (0 for the lowest one) (meV/atom): 43.3
Symmetry: No. 123
Magnetic moment (μB/f.u.): 0.0
Fermi-level density of states (states/eV/cell): 2.51
Calculated formation energy (eV per atom): -0.204